NbHW: relaxed, PBE.

It has space group C2/m (No. 12), with a = 9.965 Å, b = 4.719 Å, c = 3.331 Å, α = 90.00°, β = 109.07° and γ = 90.00°. Symmetry generates all atoms from Nb at (0.132, 0.000, 0.373), H at (0.000, 0.261, 0.500) and W at (0.131, 0.500, 0.890).

Its calculated volume is 148.04 Å³ per cell. The value obtained for the total energy is -8.81 eV/atom. Its density is 12462 kg/m3. The density of states at the Fermi level comes out at 0.348 states/eV per atom. For the polymorph energy (0 for the lowest one), the calculation gives 17 meV/atom.